# Ac3Zn4Ga4

A geometry-optimized Ac3Zn4Ga4 structure (GGA-PBE, the Alexandria database).

Cell lengths 4.528, 4.505, 13.265 Å; angles 99.78, 99.83, 90.00 degrees
Fractional positions:
Ac: 0.653 0.153 0.306
Ga: 0.803 0.303 0.607
Ac: 0.000 0.000 0.000
Zn: 0.903 0.403 0.805
Ga: 0.550 0.550 0.101
Ga: 0.197 0.697 0.393
Zn: 0.749 0.749 0.499
Zn: 0.097 0.597 0.195
Zn: 0.251 0.251 0.501
Ac: 0.347 0.847 0.694
Ga: 0.450 0.450 0.899

Output
Calculated volume (Å³/atom): 23.9
Energy (eV/atom): -3.16
Symmetry: Immm, No. 71